# GGA+U Pm2SbMoO8, optimized geometry
# Space group: C2/m, No. 12
# Electronic total energy, eV per atom: -7.33
data_Pm2SbMoO8
_cell_length_a 5.084
_cell_length_b 5.084
_cell_length_c 6.693
_cell_angle_alpha 90.04
_cell_angle_beta 90.04
_cell_angle_gamma 92.11
_symmetry_space_group_name_H-M 'P 1'
_symmetry_Int_Tables_number 1
_symmetry_space_group_name_Hall 'P 1'
loop_
_atom_site_label
_atom_site_type_symbol
_atom_site_fract_x
_atom_site_fract_y
_atom_site_fract_z
Pm1 Pm 0.008 0.008 0.249
Pm2 Pm 0.992 0.992 0.751
Sb1 Sb 0.500 0.500 0.000
Mo1 Mo 0.500 0.500 0.500
O1 O 0.220 0.220 0.993
O2 O 0.230 0.230 0.506
O3 O 0.321 0.670 0.248
O4 O 0.330 0.679 0.752
O5 O 0.670 0.321 0.248
O6 O 0.679 0.330 0.752
O7 O 0.770 0.770 0.494
O8 O 0.780 0.780 0.007